Record 1
Entry from the Alexandria database: a relaxed P3Pb12S5 crystal (PBE).

Cell lengths 14.9226, 14.9226, 14.9226 Å; angles 109.47, 109.47, 109.47 degrees
Last column: nearest neighbours and their distance in Å.
Positions (direct):
P (0.7500, 0.3750, 0.1250)  8 Pb 2.98-3.32
P (0.8750, 0.7500, 0.1250)  8 Pb 2.98-3.32
P (0.3750, 0.7500, 0.6250)  8 Pb 2.98-3.32
P (0.2500, 0.1250, 0.3750)  8 Pb 2.98-3.32
P (0.8750, 0.1250, 0.2500)  8 Pb 2.98-3.32
P (0.3750, 0.6250, 0.2500)  8 Pb 2.98-3.32
P (0.6250, 0.3750, 0.7500)  8 Pb 2.98-3.32
P (0.1250, 0.8750, 0.7500)  8 Pb 2.98-3.32
P (0.7500, 0.8750, 0.6250)  8 Pb 2.98-3.32
P (0.6250, 0.2500, 0.3750)  8 Pb 2.98-3.32
P (0.1250, 0.2500, 0.8750)  8 Pb 2.98-3.32
P (0.2500, 0.6250, 0.8750)  8 Pb 2.98-3.32
S (0.1250, 0.3750, 0.2500)  4 Pb 2.83
S (0.0000, 0.5000, 0.0000)  6 Pb 2.99
S (0.0000, 0.0000, 0.0000)  6 Pb 2.99
S (0.3750, 0.2500, 0.1250)  4 Pb 2.83
S (0.5000, 0.0000, 0.5000)  6 Pb 2.99
S (0.5000, 0.5000, 0.0000)  6 Pb 2.99
S (0.1250, 0.7500, 0.3750)  4 Pb 2.83
S (0.7500, 0.1250, 0.8750)  4 Pb 2.83
S (0.7500, 0.6250, 0.3750)  4 Pb 2.83
S (0.3750, 0.1250, 0.7500)  4 Pb 2.83
S (0.6250, 0.8750, 0.2500)  4 Pb 2.83
S (0.5000, 0.5000, 0.5000)  6 Pb 2.99
S (0.5000, 0.0000, 0.0000)  6 Pb 2.99
S (0.0000, 0.0000, 0.5000)  6 Pb 2.99
S (0.2500, 0.3750, 0.6250)  4 Pb 2.83
S (0.2500, 0.8750, 0.1250)  4 Pb 2.83
S (0.0000, 0.5000, 0.5000)  6 Pb 2.99
S (0.8750, 0.2500, 0.6250)  4 Pb 2.83
S (0.6250, 0.7500, 0.8750)  4 Pb 2.83
S (0.8750, 0.6250, 0.7500)  4 Pb 2.83
Pb (0.7329, 0.1324, 0.0605)  2 S 2.83-2.99, 1 P 2.98
Pb (0.3277, 0.5605, 0.4282)  2 S 2.83-2.99, 1 P 2.98
Pb (0.9395, 0.3676, 0.2671)  2 S 2.83-2.99, 1 P 2.98
Pb (0.5605, 0.2329, 0.1324)  2 S 2.83-2.99, 1 P 2.98
Pb (0.6005, 0.7329, 0.6723)  2 S 2.83-2.99, 1 P 2.98
Pb (0.9395, 0.5718, 0.1723)  2 S 2.83-2.99, 1 P 2.98
Pb (0.3277, 0.7671, 0.3995)  2 S 2.83-2.99, 1 P 2.98
Pb (0.0718, 0.8995, 0.1324)  2 S 2.83-2.99, 1 P 2.98
Pb (0.5718, 0.9395, 0.6723)  2 S 2.83-2.99, 1 P 2.98
Pb (0.7329, 0.6005, 0.1723)  2 S 2.83-2.99, 1 P 2.98
Pb (0.7671, 0.4395, 0.3676)  2 S 2.83-2.99, 1 P 2.98
Pb (0.8277, 0.9282, 0.0605)  2 S 2.83-2.99, 1 P 2.98
Pb (0.1324, 0.7329, 0.5605)  2 S 2.83-2.99, 1 P 2.98
Pb (0.3676, 0.4282, 0.1005)  2 S 2.83-2.99, 1 P 2.98
Pb (0.1005, 0.9282, 0.3676)  2 S 2.83-2.99, 1 P 2.98
Pb (0.3995, 0.1324, 0.5718)  2 S 2.83-2.99, 1 P 2.98
Pb (0.1005, 0.1723, 0.2329)  2 S 2.83-2.99, 1 P 2.98
Pb (0.4395, 0.6723, 0.0718)  2 S 2.83-2.99, 1 P 2.98
Pb (0.8277, 0.8995, 0.2671)  2 S 2.83-2.99, 1 P 2.98
Pb (0.1324, 0.3995, 0.0718)  2 S 2.83-2.99, 1 P 2.98
Pb (0.3676, 0.9395, 0.7671)  2 S 2.83-2.99, 1 P 2.98
Pb (0.5718, 0.6324, 0.3995)  2 S 2.83-2.99, 1 P 2.98
Pb (0.9282, 0.8277, 0.5605)  2 S 2.83-2.99, 1 P 2.98
Pb (0.7671, 0.3277, 0.8995)  2 S 2.83-2.99, 1 P 2.98
Pb (0.4282, 0.3676, 0.6005)  2 S 2.83-2.99, 1 P 2.98
Pb (0.0718, 0.1723, 0.4395)  2 S 2.83-2.99, 1 P 2.98
Pb (0.2329, 0.6723, 0.1005)  2 S 2.83-2.99, 1 P 2.98
Pb (0.1723, 0.1005, 0.7329)  2 S 2.83-2.99, 1 P 2.98
Pb (0.6324, 0.0605, 0.2329)  2 S 2.83-2.99, 1 P 2.98
Pb (0.8676, 0.6005, 0.9282)  2 S 2.83-2.99, 1 P 2.98
Pb (0.5605, 0.3277, 0.9282)  2 S 2.83-2.99, 1 P 2.98
Pb (0.6005, 0.8676, 0.4282)  2 S 2.83-2.99, 1 P 2.98
Pb (0.8995, 0.8277, 0.7671)  2 S 2.83-2.99, 1 P 2.98
Pb (0.8995, 0.0718, 0.6324)  2 S 2.83-2.99, 1 P 2.98
Pb (0.8676, 0.2671, 0.4395)  2 S 2.83-2.99, 1 P 2.98
Pb (0.1723, 0.0718, 0.9395)  2 S 2.83-2.99, 1 P 2.98
Pb (0.6324, 0.5718, 0.8995)  2 S 2.83-2.99, 1 P 2.98
Pb (0.4282, 0.0605, 0.3277)  2 S 2.83-2.99, 1 P 2.98
Pb (0.2671, 0.3995, 0.8277)  2 S 2.83-2.99, 1 P 2.98
Pb (0.2329, 0.5605, 0.6324)  2 S 2.83-2.99, 1 P 2.98
Pb (0.9282, 0.1005, 0.8676)  2 S 2.83-2.99, 1 P 2.98
Pb (0.6723, 0.2329, 0.6005)  2 S 2.83-2.99, 1 P 2.98
Pb (0.4395, 0.7671, 0.8676)  2 S 2.83-2.99, 1 P 2.98
Pb (0.0605, 0.4282, 0.8277)  2 S 2.83-2.99, 1 P 2.98
Pb (0.3995, 0.2671, 0.3277)  2 S 2.83-2.99, 1 P 2.98
Pb (0.0605, 0.6324, 0.7329)  2 S 2.83-2.99, 1 P 2.98
Pb (0.6723, 0.4395, 0.5718)  2 S 2.83-2.99, 1 P 2.98
Pb (0.2671, 0.8676, 0.9395)  2 S 2.83-2.99, 1 P 2.98

- magnetization (μB per formula unit) = 0.000
- formation energy from raw total energies (eV/atom) = 0.04
- space group = Ia-3d (230)


Record 2
Entry from the Alexandria database: a relaxed AlCd2Cu crystal (PBE).

Cell lengths 5.1158, 5.1158, 5.1158 Å; angles 131.90, 131.90, 70.39 degrees
Last column: nearest neighbours and their distance in Å.
Positions (direct):
Al (0.7500, 0.2500, 0.5000)  4 Cu 2.95, 8 Cd 2.95
Cu (0.2500, 0.7500, 0.5000)  4 Al 2.95, 8 Cd 2.95
Cd (0.0000, 0.0000, 0.0000)  4 Cd 2.95, 4 Cu 2.95, 4 Al 2.95
Cd (0.5000, 0.5000, 0.0000)  4 Cd 2.95, 4 Al 2.95, 4 Cu 2.95

- magnetization (μB per formula unit) = 0.000
- space group = I4/mmm (139)
- energy relative to the elements (eV/atom) = 0.14


Record 3
Entry from the Alexandria database: a relaxed NaAl2H6 crystal (PBE).

Cell lengths 4.6717, 4.6717, 4.6716 Å; angles 60.00, 60.00, 60.00 degrees
Last column: nearest neighbours and their distance in Å.
Positions (direct):
Na (0.0000, 0.0000, 0.0000)  6 H 1.91
Al (0.7500, 0.7500, 0.7500)  12 H 2.35
Al (0.2500, 0.2500, 0.2500)  12 H 2.35
H (0.2886, 0.7114, 0.7114)  1 Na 1.91, 4 H 1.98
H (0.7114, 0.7114, 0.2886)  1 Na 1.91, 4 H 1.98
H (0.7114, 0.2886, 0.7114)  1 Na 1.91, 4 H 1.98
H (0.7114, 0.2886, 0.2886)  1 Na 1.91, 4 H 1.98
H (0.2886, 0.2886, 0.7114)  1 Na 1.91, 4 H 1.98
H (0.2886, 0.7114, 0.2886)  1 Na 1.91, 4 H 1.98

- magnetization (μB per formula unit) = 0.000
- space group = Fm-3m (225)
- excess energy over the best structure of this formula in the dataset (eV per atom) = 0.715


Record 4
Entry from the Alexandria database: a relaxed InBSe2 crystal (PBE).

Cell lengths 4.8054, 4.8054, 4.8054 Å; angles 60.00, 60.00, 60.00 degrees
Last column: nearest neighbours and their distance in Å.
Positions (direct):
B (0.0000, 0.0000, 0.0000)  8 Se 2.94
Se (0.2500, 0.2500, 0.2500)  4 In 2.94, 4 B 2.94
Se (0.7500, 0.7500, 0.7500)  4 B 2.94, 4 In 2.94
In (0.5000, 0.5000, 0.5000)  8 Se 2.94

- magnetization (μB per formula unit) = 0.000
- formation energy from raw total energies (eV/atom) = 0.91
- space group = Fm-3m (225)
- excess energy over the best structure of this formula in the dataset (eV per atom) = 0.951


Record 5
Entry from the Alexandria database: a relaxed Nd3Er2Hg4 crystal (PBE).

Cell lengths 6.8779, 7.9677, 10.2694 Å; angles 90.00, 109.56, 90.00 degrees
Last column: nearest neighbours and their distance in Å.
Positions (direct):
Nd (0.0000, 0.0000, 0.0000)  6 Hg 3.01-3.07
Nd (0.5000, 0.5000, 0.0000)  6 Hg 3.01-3.07
Nd (0.5100, 0.7500, 0.5200)  5 Hg 3.11-3.30, 2 Nd 3.44
Nd (0.9900, 0.2500, 0.4800)  5 Hg 3.11-3.30, 2 Nd 3.44
Nd (0.4900, 0.2500, 0.4800)  5 Hg 3.11-3.30, 2 Nd 3.44
Nd (0.0100, 0.7500, 0.5200)  5 Hg 3.11-3.30, 2 Nd 3.44
Er (0.0926, 0.5849, 0.1852)  3 Hg 3.19-3.23
Er (0.9074, 0.4151, 0.8148)  3 Hg 3.19-3.23
Er (0.4074, 0.0849, 0.8148)  3 Hg 3.19-3.23
Er (0.5926, 0.9151, 0.1852)  3 Hg 3.19-3.23
Hg (0.6750, 0.7500, 0.8500)  3 Nd 3.01-3.19, 2 Er 3.19, 2 Hg 3.30
Hg (0.8250, 0.2500, 0.1500)  3 Nd 3.01-3.19, 2 Er 3.19, 2 Hg 3.30
Hg (0.3250, 0.2500, 0.1500)  3 Nd 3.01-3.19, 2 Er 3.19, 2 Hg 3.30
Hg (0.1750, 0.7500, 0.8500)  3 Nd 3.01-3.19, 2 Er 3.19, 2 Hg 3.30
Hg (0.1576, 0.9588, 0.3153)  5 Nd 3.07-3.30, 1 Er 3.23, 2 Hg 3.30
Hg (0.8424, 0.0412, 0.6847)  5 Nd 3.07-3.30, 1 Er 3.23, 2 Hg 3.30
Hg (0.3424, 0.4588, 0.6847)  5 Nd 3.07-3.30, 1 Er 3.23, 2 Hg 3.30
Hg (0.6576, 0.5412, 0.3153)  5 Nd 3.07-3.30, 1 Er 3.23, 2 Hg 3.30

- magnetization (μB per formula unit) = 0.011
- space group = Cmce (64)
- energy relative to the elements (eV/atom) = -0.26


Record 6
Entry from the Alexandria database: a relaxed Ba5Zn2F12 crystal (PBE).

Cell lengths 6.8541, 7.3864, 8.7910 Å; angles 103.03, 90.00, 117.64 degrees
Last column: nearest neighbours and their distance in Å.
Positions (direct):
Ba (0.3173, 0.6346, 0.6304)  3 F 2.51-2.71
Ba (0.2895, 0.5789, 0.1576)  8 F 2.57-2.76
Ba (0.0000, 0.0000, 0.5000)  6 F 2.63-2.65
Ba (0.7105, 0.4211, 0.8424)  8 F 2.57-2.76
Ba (0.6827, 0.3654, 0.3696)  3 F 2.51-2.71
Zn (0.8240, 0.0000, 0.0000)  2 F 2.04
Zn (0.1760, 0.0000, 0.0000)  2 F 2.04
F (0.1501, 0.3002, 0.3463)  3 Ba 2.65-2.87, 2 F 2.87
F (0.1436, 0.7042, 0.9313)  1 Zn 2.04
F (0.5606, 0.7042, 0.9313)  1 Zn 2.04
F (0.0962, 0.6933, 0.3902)  4 Ba 2.63-2.82, 1 F 2.87
F (0.5972, 0.6933, 0.3902)  4 Ba 2.63-2.82, 1 F 2.87
F (0.5077, 0.0154, 0.7822)  2 Ba 2.51-2.57
F (0.4923, 0.9846, 0.2178)  2 Ba 2.51-2.57
F (0.9038, 0.3067, 0.6098)  4 Ba 2.63-2.82, 1 F 2.87
F (0.4028, 0.3067, 0.6098)  4 Ba 2.63-2.82, 1 F 2.87
F (0.8564, 0.2958, 0.0687)  1 Zn 2.04
F (0.4394, 0.2958, 0.0687)  1 Zn 2.04
F (0.8499, 0.6998, 0.6537)  3 Ba 2.65-2.87, 2 F 2.87

- magnetization (μB per formula unit) = 0.000
- formation energy from raw total energies (eV/atom) = -3.28
- space group = C2/m (12)


Record 7
Entry from the Alexandria database: a relaxed NaAg2Os2 crystal (PBE).

Cell lengths 8.3963, 8.3963, 2.6493 Å; angles 90.00, 90.00, 90.00 degrees
Last column: nearest neighbours and their distance in Å.
Positions (direct):
Na (0.0000, 0.0000, 0.0000)  2 Na 2.65
Na (0.5000, 0.5000, 0.0000)  2 Na 2.65
Os (0.3989, 0.8989, 0.0000)  3 Os 2.40-2.65
Os (0.8989, 0.6011, 0.0000)  3 Os 2.40-2.65
Os (0.6011, 0.1011, 0.0000)  3 Os 2.40-2.65
Os (0.1011, 0.3989, 0.0000)  3 Os 2.40-2.65
Ag (0.1930, 0.6930, 0.5000)  2 Ag 2.65, 6 Os 2.78-2.91
Ag (0.6930, 0.8070, 0.5000)  2 Ag 2.65, 6 Os 2.78-2.91
Ag (0.8070, 0.3070, 0.5000)  2 Ag 2.65, 6 Os 2.78-2.91
Ag (0.3070, 0.1930, 0.5000)  2 Ag 2.65, 6 Os 2.78-2.91

- magnetization (μB per formula unit) = 0.000
- space group = P4/mbm (127)
- energy relative to the elements (eV/atom) = 0.74
- excess energy over the best structure of this formula in the dataset (eV per atom) = 0.000


Record 8
Entry from the Alexandria database: a relaxed HS4 crystal (PBE).

Cell lengths 4.0693, 4.0693, 4.0693 Å; angles 90.00, 90.00, 90.00 degrees
Last column: nearest neighbours and their distance in Å.
Positions (direct):
H (0.5000, 0.5000, 0.5000)  6 S 2.03
S (0.0000, 0.0000, 0.0000)  12 S 2.88
S (0.5000, 0.0000, 0.5000)  2 H 2.03
S (0.0000, 0.5000, 0.5000)  2 H 2.03
S (0.5000, 0.5000, 0.0000)  2 H 2.03

- magnetization (μB per formula unit) = 0.000
- space group = Pm-3m (221)
- excess energy over the best structure of this formula in the dataset (eV per atom) = 1.037


Record 9
Entry from the Alexandria database: a relaxed NdMg3In2 crystal (PBE).

Cell lengths 4.8295, 9.6482, 7.6760 Å; angles 118.59, 90.00, 104.49 degrees
Last column: nearest neighbours and their distance in Å.
Positions (direct):
Nd (0.8827, 0.7653, 0.9505)  7 In 3.36-3.58, 7 Mg 3.40-3.74
Nd (0.1173, 0.2347, 0.0495)  7 In 3.36-3.58, 7 Mg 3.40-3.74
Mg (0.3019, 0.6038, 0.5235)  2 In 2.93-2.96, 3 Mg 2.99-3.01
Mg (0.9299, 0.8599, 0.5565)  3 In 2.88-2.98, 3 Mg 3.14-3.17
Mg (0.6272, 0.2544, 0.7503)  4 In 2.92-3.08, 3 Mg 2.99-3.17
Mg (0.3728, 0.7456, 0.2497)  4 In 2.92-3.08, 3 Mg 2.99-3.17
Mg (0.0701, 0.1401, 0.4435)  3 In 2.88-2.98, 3 Mg 3.14-3.17
Mg (0.6981, 0.3962, 0.4765)  2 In 2.93-2.96, 3 Mg 2.99-3.01
In (0.4803, 0.9607, 0.7925)  4 Mg 2.88-2.93, 1 In 2.89
In (0.5197, 0.0393, 0.2075)  4 Mg 2.88-2.93, 1 In 2.89
In (0.7629, 0.5257, 0.1940)  7 Mg 2.96-3.31
In (0.2371, 0.4743, 0.8060)  7 Mg 2.96-3.31

- magnetization (μB per formula unit) = 0.000
- space group = C2/m (12)
- energy relative to the elements (eV/atom) = -0.25


Record 10
Entry from the Alexandria database: a relaxed Li4TlIr crystal (PBE).

Cell lengths 4.9576, 4.9576, 4.9576 Å; angles 60.00, 60.00, 60.00 degrees
Last column: nearest neighbours and their distance in Å.
Positions (direct):
Li (0.8830, 0.3723, 0.3723)  6 Li 2.43-2.53
Li (0.3723, 0.3723, 0.8830)  6 Li 2.43-2.53
Li (0.3723, 0.8830, 0.3723)  6 Li 2.43-2.53
Li (0.3723, 0.3723, 0.3723)  6 Li 2.43-2.53
Tl (0.7500, 0.7500, 0.7500)  12 Li 2.91, 4 Ir 3.04
Ir (0.0000, 0.0000, 0.0000)  12 Li 2.90, 4 Tl 3.04

- magnetization (μB per formula unit) = 0.000
- space group = F-43m (216)
- energy relative to the elements (eV/atom) = 0.01


Table of total DFT energy (no corrections) (eV per atom), in record order: -4.03 -2.28 -2.48 -3.18 -3.00 -5.11 -5.16 -2.71 -2.76 -3.14